Arrangement A

The following is a PBE calculation of a relaxed Be2PbF crystal, from the Alexandria database.

The density is 7.0 g/cm³. As for the density of states at the Fermi level: 0.6 states/eV/f.u.

The space group is I4_1/amd (No. 141, origin choice 2) and the conventional cell measures 4.505, 4.505 and 11.415 Å, with angles of 90.00, 90.00 and 90.00 degrees. The distinct sites, in fractional coordinates, are Be at (0.000, 0.000, 0.000), Pb at (0.000, 0.250, 0.375) and F at (0.000, 0.250, 0.875).

---

Arrangement B

The following is a PBE calculation of a relaxed Be2PbF crystal, from the Alexandria database.

The density is 6.9 g/cm³. As for the density of states at the Fermi level: 3.9 states/eV/f.u.

The space group is Fm-3m (No. 225) and the conventional cell measures 6.175, 6.175 and 6.175 Å, with angles of 90.00, 90.00 and 90.00 degrees. The distinct sites, in fractional coordinates, are Be at (0.250, 0.250, 0.250), Pb at (0.000, 0.000, 0.000) and F at (0.000, 0.000, 0.500).

---

Which of them is the least stable? Correct choice: arrangement B.

---

Arrangement A

The following is a PBE calculation of a relaxed BePbF2 crystal, from the Alexandria database.

The density is 6.7 g/cm³. As for the density of states at the Fermi level: 0.2 states/eV/f.u.

The space group is Fm-3m (No. 225) and the conventional cell measures 6.313, 6.313 and 6.313 Å, with angles of 90.00, 90.00 and 90.00 degrees. The distinct sites, in fractional coordinates, are Be at (0.000, 0.000, 0.000), Pb at (0.000, 0.000, 0.500) and F at (0.250, 0.250, 0.250).

---

Arrangement B

The following is a PBE calculation of a relaxed BePbF2 crystal, from the Alexandria database.

The density is 5.7 g/cm³. As for the density of states at the Fermi level: 1.3 states/eV/f.u.

The space group is R-3m (No. 166, hexagonal axes) and the conventional cell measures 2.9416, 2.9416 and 29.5742 Å, with angles of 90.00, 90.00 and 120.00 degrees. The distinct sites, in fractional coordinates, are Be at (0.0000, 0.0000, 0.0000), Pb at (0.0000, 0.0000, 0.5000) and F at (0.0000, 0.0000, 0.3614).

---

Arrangement C

The following is a PBE calculation of a relaxed BePbF2 crystal, from the Alexandria database.

The density is 7.4 g/cm³. As for the density of states at the Fermi level: 2.0 states/eV/f.u.

The space group is Fd-3m (No. 227, origin choice 2) and the conventional cell measures 7.686, 7.686 and 7.686 Å, with angles of 90.00, 90.00 and 90.00 degrees. The distinct sites, in fractional coordinates, are Be at (0.125, 0.125, 0.125), Pb at (0.125, 0.125, 0.625) and F at (0.000, 0.000, 0.000).

---

Which of them is the least stable? Correct choice: arrangement A.

---

Arrangement A

The following is a PBE calculation of a relaxed BePb2F6 crystal, from the Alexandria database.

The density is 7.7 g/cm³. As for the density of states at the Fermi level: 0.0 states/eV/f.u.

The space group is Fm-3m (No. 225) and the conventional cell measures 7.735, 7.735 and 7.735 Å, with angles of 90.00, 90.00 and 90.00 degrees. The distinct sites, in fractional coordinates, are Be at (0.000, 0.000, 0.000), Pb at (0.250, 0.250, 0.250) and F at (0.000, 0.000, 0.228).

---

Arrangement B

The following is a PBE calculation of a relaxed BePb2F6 crystal, from the Alexandria database.

The density is 6.1 g/cm³. As for the density of states at the Fermi level: 0.0 states/eV/f.u.

The space group is Pc (No. 7) and the conventional cell measures 5.494, 7.105 and 8.919 Å, with angles of 90.00, 122.25 and 90.00 degrees. The distinct sites, in fractional coordinates, are Be at (0.000, 0.156, 0.000), Pb at (0.295, 0.167, 0.768), Pb at (0.716, 0.381, 0.270), F at (0.028, 0.237, 0.169), F at (0.156, 0.384, 0.545), F at (0.315, 0.093, 0.056), F at (0.530, 0.436, 0.933), F at (0.799, 0.023, 0.441) and F at (0.885, 0.280, 0.826).

---

Which of them is the least stable? Correct choice: arrangement A.

---

Arrangement A

The following is a PBE calculation of a relaxed BePd2F crystal, from the Alexandria database.

The density is 7.6 g/cm³. As for the density of states at the Fermi level: 0.6 states/eV/f.u.

The space group is I-42d (No. 122) and the conventional cell measures 6.240, 6.240 and 5.423 Å, with angles of 90.00, 90.00 and 90.00 degrees. The distinct sites, in fractional coordinates, are Be at (0.000, 0.000, 0.000), Pd at (0.222, 0.250, 0.125) and F at (0.000, 0.000, 0.500).

---

Arrangement B

The following is a PBE calculation of a relaxed BePd2F crystal, from the Alexandria database.

The density is 8.3 g/cm³. As for the density of states at the Fermi level: 2.7 states/eV/f.u.

The space group is Fm-3m (No. 225) and the conventional cell measures 5.787, 5.787 and 5.787 Å, with angles of 90.00, 90.00 and 90.00 degrees. The distinct sites, in fractional coordinates, are Be at (0.000, 0.000, 0.000), Pd at (0.250, 0.250, 0.250) and F at (0.000, 0.000, 0.500).

---

Which of them is the least stable? Correct choice: arrangement A.

---

Arrangement A

The following is a PBE calculation of a relaxed BePdF2 crystal, from the Alexandria database.

The density is 3.9 g/cm³. As for the density of states at the Fermi level: 3.8 states/eV/f.u.

The space group is R-3m (No. 166, hexagonal axes) and the conventional cell measures 2.8478, 2.8478 and 28.0499 Å, with angles of 90.00, 90.00 and 120.00 degrees. The distinct sites, in fractional coordinates, are Be at (0.0000, 0.0000, 0.0000), Pd at (0.0000, 0.0000, 0.5000) and F at (0.0000, 0.0000, 0.0489).

---

Arrangement B

The following is a PBE calculation of a relaxed BePdF2 crystal, from the Alexandria database.

The density is 4.5 g/cm³. As for the density of states at the Fermi level: 2.1 states/eV/f.u.

The space group is R-3m (No. 166, hexagonal axes) and the conventional cell measures 2.6345, 2.6345 and 28.0791 Å, with angles of 90.00, 90.00 and 120.00 degrees. The distinct sites, in fractional coordinates, are Be at (0.0000, 0.0000, 0.0000), Pd at (0.0000, 0.0000, 0.5000) and F at (0.0000, 0.0000, 0.3654).

---

Which of them is the least stable? Correct choice: arrangement A.

---

Arrangement A

The following is a PBE calculation of a relaxed BePdF3 crystal, from the Alexandria database.

The density is 5.8 g/cm³. As for the density of states at the Fermi level: 7.1 states/eV/f.u.

The space group is Pm-3m (No. 221) and the conventional cell measures 3.675, 3.675 and 3.675 Å, with angles of 90.00, 90.00 and 90.00 degrees. The distinct sites, in fractional coordinates, are Be at (0.000, 0.000, 0.000), Pd at (0.500, 0.500, 0.500) and F at (0.000, 0.000, 0.500).

---

Arrangement B

The following is a PBE calculation of a relaxed BePdF3 crystal, from the Alexandria database.

The density is 3.8 g/cm³. As for the density of states at the Fermi level: 1.4 states/eV/f.u.

The space group is Pm-3m (No. 221) and the conventional cell measures 4.228, 4.228 and 4.228 Å, with angles of 90.00, 90.00 and 90.00 degrees. The distinct sites, in fractional coordinates, are Be at (0.000, 0.000, 0.000), Pd at (0.500, 0.500, 0.500) and F at (0.000, 0.500, 0.500).

---

Which of them is the least stable? Correct choice: arrangement B.

---

Arrangement A

The following is a PBE calculation of a relaxed BePtF3 crystal, from the Alexandria database.

The density is 5.5 g/cm³. As for the density of states at the Fermi level: 1.7 states/eV/f.u.

The space group is Pm-3m (No. 221) and the conventional cell measures 4.284, 4.284 and 4.284 Å, with angles of 90.00, 90.00 and 90.00 degrees. The distinct sites, in fractional coordinates, are Be at (0.000, 0.000, 0.000), Pt at (0.500, 0.500, 0.500) and F at (0.000, 0.500, 0.500).

---

Arrangement B

The following is a PBE calculation of a relaxed BePtF3 crystal, from the Alexandria database.

The density is 8.4 g/cm³. As for the density of states at the Fermi level: 9.0 states/eV/f.u.

The space group is Pm-3m (No. 221) and the conventional cell measures 3.718, 3.718 and 3.718 Å, with angles of 90.00, 90.00 and 90.00 degrees. The distinct sites, in fractional coordinates, are Be at (0.000, 0.000, 0.000), Pt at (0.500, 0.500, 0.500) and F at (0.000, 0.000, 0.500).

---

Which of them is the least stable? Correct choice: arrangement A.

---

Arrangement A

The following is a PBE calculation of a relaxed Be2PtF2 crystal, from the Alexandria database.

The density is 7.6 g/cm³. As for the density of states at the Fermi level: 1.4 states/eV/f.u.

The space group is P4/mbm (No. 127) and the conventional cell measures 6.519, 6.519 and 2.577 Å, with angles of 90.00, 90.00 and 90.00 degrees. The distinct sites, in fractional coordinates, are Be at (0.131, 0.369, 0.000), Pt at (0.000, 0.000, 0.000) and F at (0.112, 0.612, 0.500).

---

Arrangement B

The following is a PBE calculation of a relaxed Be2PtF2 crystal, from the Alexandria database.

The density is 8.5 g/cm³. As for the density of states at the Fermi level: 0.3 states/eV/f.u.

The space group is I4/mmm (No. 139) and the conventional cell measures 3.047, 3.047 and 10.507 Å, with angles of 90.00, 90.00 and 90.00 degrees. The distinct sites, in fractional coordinates, are Be at (0.000, 0.000, 0.148), Pt at (0.000, 0.000, 0.500) and F at (0.000, 0.500, 0.250).

---

Which of them is the least stable? Correct choice: arrangement A.

---

Arrangement A

The following is a PBE calculation of a relaxed Rb2Be2F crystal, from the Alexandria database.

The density is 2.0 g/cm³. As for the density of states at the Fermi level: 2.5 states/eV/f.u.

The space group is P4/mbm (No. 127) and the conventional cell measures 7.505, 7.505 and 6.013 Å, with angles of 90.00, 90.00 and 90.00 degrees. The distinct sites, in fractional coordinates, are Rb at (0.203, 0.297, 0.000), Be at (0.102, 0.602, 0.500) and F at (0.000, 0.000, 0.000).

---

Arrangement B

The following is a PBE calculation of a relaxed Rb2Be2F crystal, from the Alexandria database.

The density is 2.5 g/cm³. As for the density of states at the Fermi level: 3.4 states/eV/f.u.

The space group is I4/mmm (No. 139) and the conventional cell measures 6.924, 6.924 and 5.825 Å, with angles of 90.00, 90.00 and 90.00 degrees. The distinct sites, in fractional coordinates, are Rb at (0.000, 0.500, 0.250), Be at (0.000, 0.000, 0.186) and F at (0.000, 0.000, 0.500).

---

Which of them is the least stable? Correct choice: arrangement B.

---

Arrangement A

The following is a PBE calculation of a relaxed Rb2Be2F crystal, from the Alexandria database.

The density is 3.3 g/cm³. As for the density of states at the Fermi level: 0.9 states/eV/f.u.

The space group is I4/mmm (No. 139) and the conventional cell measures 3.263, 3.263 and 19.462 Å, with angles of 90.00, 90.00 and 90.00 degrees. The distinct sites, in fractional coordinates, are Rb at (0.000, 0.000, 0.089), Be at (0.000, 0.500, 0.250) and F at (0.000, 0.000, 0.500).

---

Arrangement B

The following is a PBE calculation of a relaxed Rb2Be2F crystal, from the Alexandria database.

The density is 2.2 g/cm³. As for the density of states at the Fermi level: 4.1 states/eV/f.u.

The space group is P4/mbm (No. 127) and the conventional cell measures 8.715, 8.715 and 4.173 Å, with angles of 90.00, 90.00 and 90.00 degrees. The distinct sites, in fractional coordinates, are Rb at (0.207, 0.293, 0.000), Be at (0.086, 0.586, 0.500) and F at (0.000, 0.000, 0.500).

---

Which of them is the least stable? Correct choice: arrangement B.

---

Arrangement A

The following is a PBE calculation of a relaxed Rb2BeF crystal, from the Alexandria database.

The density is 2.1 g/cm³. As for the density of states at the Fermi level: 3.2 states/eV/f.u.

The space group is I-42d (No. 122) and the conventional cell measures 8.145, 8.145 and 9.364 Å, with angles of 90.00, 90.00 and 90.00 degrees. The distinct sites, in fractional coordinates, are Rb at (0.156, 0.250, 0.125), Be at (0.000, 0.000, 0.500) and F at (0.000, 0.000, 0.000).

---

Arrangement B

The following is a PBE calculation of a relaxed Rb2BeF crystal, from the Alexandria database.

The density is 2.6 g/cm³. As for the density of states at the Fermi level: 0.9 states/eV/f.u.

The space group is Fm-3m (No. 225) and the conventional cell measures 7.987, 7.987 and 7.987 Å, with angles of 90.00, 90.00 and 90.00 degrees. The distinct sites, in fractional coordinates, are Rb at (0.250, 0.250, 0.250), Be at (0.000, 0.000, 0.000) and F at (0.000, 0.000, 0.500).

---

Which of them is the least stable? Correct choice: arrangement B.

---

Arrangement A

The following is a PBE calculation of a relaxed BeReF2 crystal, from the Alexandria database.

The density is 8.8 g/cm³. As for the density of states at the Fermi level: 2.4 states/eV/f.u.

The space group is Fm-3m (No. 225) and the conventional cell measures 5.595, 5.595 and 5.595 Å, with angles of 90.00, 90.00 and 90.00 degrees. The distinct sites, in fractional coordinates, are Be at (0.000, 0.000, 0.000), Re at (0.000, 0.000, 0.500) and F at (0.250, 0.250, 0.250).

---

Arrangement B

The following is a PBE calculation of a relaxed BeReF2 crystal, from the Alexandria database.

The density is 8.5 g/cm³. As for the density of states at the Fermi level: 2.5 states/eV/f.u.

The space group is Fd-3m (No. 227, origin choice 2) and the conventional cell measures 7.147, 7.147 and 7.147 Å, with angles of 90.00, 90.00 and 90.00 degrees. The distinct sites, in fractional coordinates, are Be at (0.125, 0.125, 0.125), Re at (0.125, 0.125, 0.625) and F at (0.000, 0.000, 0.000).

---

Arrangement C

The following is a PBE calculation of a relaxed BeReF2 crystal, from the Alexandria database.

The density is 6.9 g/cm³. As for the density of states at the Fermi level: 1.6 states/eV/f.u.

The space group is R-3m (No. 166, hexagonal axes) and the conventional cell measures 2.5921, 2.5921 and 28.9133 Å, with angles of 90.00, 90.00 and 120.00 degrees. The distinct sites, in fractional coordinates, are Be at (0.0000, 0.0000, 0.0000), Re at (0.0000, 0.0000, 0.5000) and F at (0.0000, 0.0000, 0.3647).

---

Which of them is the least stable? Correct choice: arrangement A.